1.
! YSb3 | Alexandria | PBE | relaxed; values from VASP
&SYSTEM
  ibrav = 0, nat = 16, ntyp = 2
/
ATOMIC_SPECIES
Y 88.91 Y.upf
Sb 121.76 Sb.upf
CELL_PARAMETERS angstrom
6.613 0.000 0.000
-3.307 5.727 0.000
0.000 0.000 11.501
ATOMIC_POSITIONS crystal
Y 0.000 0.000 0.000
Y 0.000 0.000 0.500
Y 0.333 0.667 0.250
Y 0.667 0.333 0.750
Sb 0.500 0.000 0.000
Sb 0.500 0.000 0.500
Sb 0.000 0.500 0.000
Sb 0.500 0.500 0.000
Sb 0.500 0.500 0.500
Sb 0.000 0.500 0.500
Sb 0.838 0.677 0.250
Sb 0.162 0.323 0.750
Sb 0.323 0.162 0.250
Sb 0.838 0.162 0.250
Sb 0.162 0.838 0.750
Sb 0.677 0.838 0.750
! * mass density: 6.9 g/cm³


2.
! YSb3 | Alexandria | PBE | relaxed; values from VASP
&SYSTEM
  ibrav = 0, nat = 4, ntyp = 2
/
ATOMIC_SPECIES
Sb 121.76 Sb.upf
Y 88.91 Y.upf
CELL_PARAMETERS angstrom
-1.217 1.776 -5.725
-1.109 -4.492 -4.000
-1.961 2.074 5.409
ATOMIC_POSITIONS crystal
Sb 0.984 0.984 0.000
Sb 0.750 0.250 0.500
Sb 0.516 0.516 0.000
Y 0.250 0.750 0.500
! * mass density: 7.0 g/cm³


3.
! YSb3 | Alexandria | PBE | relaxed; values from VASP
&SYSTEM
  ibrav = 0, nat = 8, ntyp = 2
/
ATOMIC_SPECIES
Y 88.91 Y.upf
Sb 121.76 Sb.upf
CELL_PARAMETERS angstrom
4.254 -4.515 0.000
4.254 4.515 0.000
0.000 0.000 5.967
ATOMIC_POSITIONS crystal
Y 0.362 0.638 0.250
Y 0.638 0.362 0.750
Sb 0.030 0.970 0.750
Sb 0.970 0.030 0.250
Sb 0.150 0.452 0.750
Sb 0.850 0.548 0.250
Sb 0.548 0.850 0.750
Sb 0.452 0.150 0.250
! * mass density: 6.6 g/cm³


In order of decreasing stability: 2, 3, 1.


1.
! YSb3 | Alexandria | PBE | relaxed; values from VASP
&SYSTEM
  ibrav = 0, nat = 4, ntyp = 2
/
ATOMIC_SPECIES
Sb 121.76 Sb.upf
Y 88.91 Y.upf
CELL_PARAMETERS angstrom
-2.256 -3.140 1.497
1.123 -2.346 -3.228
5.062 -2.077 3.270
ATOMIC_POSITIONS crystal
Sb 0.000 0.000 0.988
Sb 0.500 0.500 0.250
Sb 0.000 0.000 0.512
Y 0.500 0.500 0.750
! * mass density: 6.9 g/cm³


2.
! YSb3 | Alexandria | PBE | relaxed; values from VASP
&SYSTEM
  ibrav = 0, nat = 4, ntyp = 2
/
ATOMIC_SPECIES
Y 88.91 Y.upf
Sb 121.76 Sb.upf
CELL_PARAMETERS angstrom
4.377 0.000 0.000
0.000 6.198 0.000
0.000 0.000 4.523
ATOMIC_POSITIONS crystal
Y 0.000 0.500 0.242
Sb 0.000 0.000 0.131
Sb 0.500 0.000 0.563
Sb 0.500 0.500 0.730
! * mass density: 6.1 g/cm³


3.
! YSb3 | Alexandria | PBE | relaxed; values from VASP
&SYSTEM
  ibrav = 0, nat = 8, ntyp = 2
/
ATOMIC_SPECIES
Y 88.91 Y.upf
Sb 121.76 Sb.upf
CELL_PARAMETERS angstrom
6.012 0.000 0.000
0.000 6.012 0.000
0.000 0.000 6.012
ATOMIC_POSITIONS crystal
Y 0.000 0.000 0.000
Y 0.500 0.500 0.500
Sb 0.750 0.500 0.000
Sb 0.250 0.500 0.000
Sb 0.000 0.750 0.500
Sb 0.000 0.250 0.500
Sb 0.500 0.000 0.250
Sb 0.500 0.000 0.750
! * mass density: 6.9 g/cm³


In order of decreasing stability: 2, 1, 3.


1.
! YSb4 | Alexandria | PBE | relaxed; values from VASP
&SYSTEM
  ibrav = 0, nat = 5, ntyp = 2
/
ATOMIC_SPECIES
Y 88.91 Y.upf
Sb 121.76 Sb.upf
CELL_PARAMETERS angstrom
-2.839 3.173 -3.856
-4.696 -0.189 3.302
1.697 4.784 2.688
ATOMIC_POSITIONS crystal
Y 0.500 0.500 0.500
Sb 0.000 0.000 0.000
Sb 0.500 0.000 0.500
Sb 0.000 0.500 0.500
Sb 0.500 0.500 0.000
! * mass density: 5.0 g/cm³


2.
! YSb4 | Alexandria | PBE | relaxed; values from VASP
&SYSTEM
  ibrav = 0, nat = 5, ntyp = 2
/
ATOMIC_SPECIES
Y 88.91 Y.upf
Sb 121.76 Sb.upf
CELL_PARAMETERS angstrom
-1.772 -5.724 -0.466
-4.396 3.263 2.479
1.259 2.159 -5.466
ATOMIC_POSITIONS crystal
Y 0.000 0.000 0.000
Sb 0.500 0.000 0.000
Sb 0.500 0.500 0.500
Sb 0.000 0.500 0.000
Sb 0.000 0.000 0.500
! * mass density: 5.7 g/cm³


In order of decreasing stability: 2, 1.